No. 1
A geometry-optimized K2BaCd structure, computed with PBE.

Calculated values
Total energy in eV/atom: -1.217
Calculated formation energy in eV/atom: 0.04
D(E_F) in states/eV/atom: 0.993

Cell: 5.4360 5.4360 13.6747 Å, 90.00 90.00 90.00°
Space group I4/mmm (No. 139)
Inequivalent atoms, fractional coordinates:
1 K 0.0000 0.5000 0.2500 x4
2 Ba 0.0000 0.0000 0.0000 x2
3 Cd 0.0000 0.0000 0.5000 x2

***

No. 2
A geometry-optimized Ho8Er2Th3 structure, computed with PBE.

Calculated values
Polymorph energy (0 for the lowest one) in meV per atom: 125
Total energy in eV/atom: -4.945
Calculated formation energy in eV/atom: 0.29
D(E_F) in states/eV/atom: 1.577

Cell: 14.7451 9.2281 6.5788 Å, 90.00 99.50 90.00°
Space group C2/m (No. 12)
Inequivalent atoms, fractional coordinates:
1 Ho 0.0826 0.0000 0.3730 x4
2 Ho 0.1128 0.1784 0.9346 x8
3 Ho 0.1961 0.5000 0.7843 x4
4 Er 0.2129 0.5000 0.2897 x4
5 Th 0.0000 0.3310 0.5000 x4
6 Th 0.0000 0.5000 0.0000 x2

***

No. 3
A geometry-optimized Fe3IrPt4 structure, computed with PBE.

Calculated values
Total energy in eV/atom: -7.480
Calculated formation energy in eV/atom: -0.18
D(E_F) in states/eV/atom: 0.565

Cell: 8.8999 5.4455 4.7516 Å, 90.00 90.00 90.00°
Space group Pmma (No. 51)
Inequivalent atoms, fractional coordinates:
1 Fe 0.0000 0.0000 0.0000 x2
2 Fe 0.2500 0.0000 0.3282 x2
3 Fe 0.2500 0.5000 0.3238 x2
4 Ir 0.0000 0.5000 0.0000 x2
5 Pt 0.0000 0.2484 0.5000 x4
6 Pt 0.2500 0.2511 0.8378 x4

***

No. 4
A geometry-optimized Nd2SmDy2Y4 structure, computed with PBE.

Calculated values
Total energy in eV/atom: -5.485
Calculated formation energy in eV/atom: -0.01
D(E_F) in states/eV/atom: 1.394

Cell: 18.8251 3.6266 9.6346 Å, 90.00 115.73 90.00°
Space group C2/m (No. 12)
Inequivalent atoms, fractional coordinates:
1 Nd 0.1662 0.0000 0.4983 x4
2 Sm 0.0000 0.5000 0.5000 x2
3 Dy 0.1477 0.5000 0.1638 x4
4 Y 0.0194 0.0000 0.8363 x4
5 Y 0.1860 0.5000 0.8355 x4

***

No. 5
A geometry-optimized TaAuI3 structure, computed with PBE.

Calculated values
Polymorph energy (0 for the lowest one) in meV per atom: 0
Total energy in eV/atom: -3.471
Formation energy from raw total energies in eV/f.u.: 2.4
D(E_F) in states/eV/atom: 0.715

Cell: 5.4966 5.4966 5.4966 Å, 90.00 90.00 90.00°
Space group Pm-3m (No. 221)
Inequivalent atoms, fractional coordinates:
1 Ta 0.0000 0.0000 0.0000 x1
2 Au 0.5000 0.5000 0.5000 x1
3 I 0.0000 0.0000 0.5000 x3

***

No. 6
A geometry-optimized RhAuICl structure, computed with PBE.

Calculated values
Polymorph energy (0 for the lowest one) in meV per atom: 181
Total energy in eV/atom: -3.451
Formation energy from raw total energies in eV/f.u.: 0.2
D(E_F) in states/eV/atom: 0.199

Cell: 13.2030 4.7499 3.4403 Å, 90.00 105.07 90.00°
Space group Cm (No. 8)
Inequivalent atoms, fractional coordinates:
1 Rh 0.0000 0.0000 0.0000 x2
2 Au 0.4815 0.0000 0.4942 x2
3 I 0.3448 0.5000 0.3448 x2
4 Cl 0.1344 0.0000 0.6343 x2